Density functional theory data (PBE) for an optimized crystal structure of BaAsIr4.

POSCAR file:
```
BaAsIr4
1.0
-2.330 3.140 3.789
0.187 5.421 -0.465
-4.525 2.789 -1.181
Ba As Ir
1 1 4
Direct
0.000 0.000 0.000
0.750 0.750 0.750
0.872 0.376 0.376
0.376 0.376 0.872
0.376 0.872 0.376
0.376 0.376 0.376
```

Energy = -6.635 eV per atom
DFT formation energy = 368.0 meV per atom

=====

Density functional theory data (PBE) for an optimized crystal structure of Ba4AsIr.

POSCAR file:
```
Ba4AsIr
1.0
5.495 0.940 3.767
-0.481 -0.001 6.711
2.555 -5.109 3.555
Ba As Ir
4 1 1
Direct
0.875 0.375 0.375
0.375 0.375 0.875
0.375 0.875 0.375
0.375 0.375 0.375
0.000 0.000 0.000
0.750 0.750 0.750
```

Energy = -2.833 eV per atom
DFT formation energy = 700.5 meV per atom

=====

Density functional theory data (PBE) for an optimized crystal structure of Ba6AsIr.

POSCAR file:
```
Ba6AsIr
1.0
-0.541 3.678 -7.217
-7.522 -2.566 -0.779
-6.031 4.451 2.755
Ba As Ir
6 1 1
Direct
0.766 0.718 0.323
0.234 0.323 0.718
0.236 0.020 0.324
0.237 0.718 0.021
0.763 0.021 0.718
0.764 0.324 0.020
0.500 0.021 0.021
0.000 0.021 0.021
```

Energy = -3.472 eV per atom
DFT formation energy = -341.2 meV per atom

=====

Density functional theory data (PBE) for an optimized crystal structure of Ba2AsIr.

POSCAR file:
```
Ba2AsIr
1.0
-3.329 4.555 -0.754
-1.532 -0.787 -5.425
-0.473 -3.820 4.193
As Ir Ba
1 1 2
Direct
0.750 0.250 0.500
0.250 0.750 0.500
0.000 0.000 0.000
0.500 0.500 0.000
```

Energy = -4.517 eV per atom
DFT formation energy = -178.2 meV per atom

=====

Density functional theory data (PBE) for an optimized crystal structure of Ba2AsIr.

POSCAR file:
```
Ba2AsIr
1.0
-3.426 -1.542 8.156
-1.341 -5.391 7.055
3.349 1.002 2.841
As Ir Ba
1 1 2
Direct
0.155 0.155 0.345
0.601 0.601 0.399
0.015 0.015 0.986
0.730 0.730 0.770
```

Energy = -4.816 eV per atom
DFT formation energy = -477.0 meV per atom

=====

Density functional theory data (PBE) for an optimized crystal structure of BaAsIr.

POSCAR file:
```
BaAsIr
1.0
5.062 0.000 0.000
2.531 4.384 0.000
2.531 1.461 4.133
As Ir Ba
1 1 1
Direct
0.500 0.500 0.500
0.000 0.000 0.000
0.750 0.750 0.750
```

Energy = -4.136 eV per atom
DFT formation energy = 1008.4 meV per atom

=====

Density functional theory data (PBE) for an optimized crystal structure of Ba2AsIr.

POSCAR file:
```
Ba2AsIr
1.0
-6.650 -5.017 -3.814
-3.632 -8.033 -2.495
-6.563 -6.377 0.439
As Ir Ba
1 1 2
Direct
0.792 0.792 0.792
0.458 0.458 0.458
0.047 0.047 0.047
0.203 0.203 0.203
```

Energy = -4.919 eV per atom
DFT formation energy = -579.7 meV per atom

=====

Density functional theory data (PBE) for an optimized crystal structure of Ba2AsIr.

POSCAR file:
```
Ba2AsIr
1.0
5.644 -0.013 0.000
-1.109 5.534 0.000
0.000 0.000 3.730
As Ir Ba
1 1 2
Direct
0.000 0.500 0.500
0.500 0.000 0.500
0.000 0.000 0.000
0.500 0.500 0.000
```

Energy = -4.508 eV per atom
DFT formation energy = -168.6 meV per atom

=====

Density functional theory data (PBE) for an optimized crystal structure of Ba2AsIr.

POSCAR file:
```
Ba2AsIr
1.0
-1.254 1.011 -5.074
-4.810 -1.314 -1.866
-3.536 3.807 -1.160
As Ir Ba
1 1 2
Direct
0.500 0.500 0.500
0.750 0.750 0.750
0.000 0.000 0.000
0.250 0.250 0.250
```

Energy = -4.322 eV per atom
DFT formation energy = 16.6 meV per atom

=====

Density functional theory data (PBE) for an optimized crystal structure of Ba2AsIr.

POSCAR file:
```
Ba2AsIr
1.0
4.598 -0.044 0.026
3.212 3.291 0.026
1.206 0.501 8.475
As Ir Ba
1 1 2
Direct
0.750 0.750 0.750
0.250 0.250 0.250
0.998 0.998 0.017
0.502 0.502 0.483
```

Energy = -4.364 eV per atom
DFT formation energy = -25.5 meV per atom

=====

Density functional theory data (PBE) for an optimized crystal structure of Ba2As4Ir3.

POSCAR file:
```
Ba2As4Ir3
1.0
5.898 -0.087 0.000
-2.818 5.181 0.000
-1.540 -2.547 7.151
Ba As Ir
2 4 3
Direct
0.641 0.641 0.282
0.359 0.359 0.718
0.037 0.707 0.744
0.707 0.037 0.744
0.963 0.293 0.256
0.293 0.963 0.256
0.500 0.000 0.000
0.000 0.000 0.000
0.000 0.500 0.000
```

Energy = -6.053 eV per atom
DFT formation energy = -605.4 meV per atom

=====

Density functional theory data (PBE) for an optimized crystal structure of Ba2AsIr.

POSCAR file:
```
Ba2AsIr
1.0
-1.611 2.243 -2.376
-3.095 -0.196 1.913
2.563 6.989 4.861
As Ir Ba
1 1 2
Direct
0.500 0.500 0.750
0.500 0.500 0.250
0.000 0.000 0.026
0.000 0.000 0.474
```

Energy = -4.526 eV per atom
DFT formation energy = -186.9 meV per atom

=====

Density functional theory data (PBE) for an optimized crystal structure of BaAsIr.

POSCAR file:
```
BaAsIr
1.0
6.278 0.008 -0.008
5.278 3.398 -0.002
1.000 0.287 3.378
As Ir Ba
1 1 1
Direct
0.052 0.052 0.948
0.617 0.617 0.383
0.331 0.331 0.669
```

Energy = -5.381 eV per atom
DFT formation energy = -236.2 meV per atom

=====

Density functional theory data (PBE) for an optimized crystal structure of BaAsIr.

POSCAR file:
```
BaAsIr
1.0
6.415 0.000 0.000
0.000 4.386 0.000
-3.369 0.000 11.648
As Ir Ba
4 4 4
Direct
0.199 0.000 0.378
0.801 0.000 0.622
0.199 0.500 0.878
0.801 0.500 0.122
0.143 0.000 0.790
0.857 0.000 0.210
0.143 0.500 0.290
0.857 0.500 0.710
0.700 0.000 0.891
0.300 0.000 0.109
0.700 0.500 0.391
0.300 0.500 0.609
```

Energy = -5.850 eV per atom
DFT formation energy = -705.7 meV per atom

=====

Density functional theory data (PBE) for an optimized crystal structure of Ba2LiAs2Ir.

POSCAR file:
```
Ba2LiAs2Ir
1.0
-4.474 3.094 3.071
2.673 -1.201 5.104
5.889 7.004 -4.830
Ba Li As Ir
4 2 4 2
Direct
0.401 0.148 0.297
0.599 0.852 0.703
0.104 0.352 0.703
0.896 0.648 0.297
0.000 0.750 0.000
0.000 0.250 0.000
0.811 0.075 0.151
0.340 0.575 0.151
0.660 0.425 0.849
0.189 0.925 0.849
0.500 0.750 0.000
0.500 0.250 0.000
```

Energy = -4.684 eV per atom
DFT formation energy = -697.7 meV per atom

=====

Density functional theory data (PBE) for an optimized crystal structure of BaLiAs2Ir.

POSCAR file:
```
BaLiAs2Ir
1.0
4.315 0.000 0.000
0.000 4.315 0.000
-2.157 -2.157 5.918
Ba Li As Ir
1 1 2 1
Direct
0.000 0.000 0.000
0.250 0.750 0.500
0.646 0.646 0.292
0.354 0.354 0.708
0.750 0.250 0.500
```

Energy = -5.104 eV per atom
DFT formation energy = -704.3 meV per atom

=====

Density functional theory data (PBE) for an optimized crystal structure of Ba2AsIrN.

POSCAR file:
```
Ba2AsIrN
1.0
-5.449 -0.773 2.362
0.458 -5.907 -0.876
1.523 -0.384 3.387
As Ir Ba N
1 1 2 1
Direct
0.500 0.500 0.500
0.000 0.000 0.500
0.000 0.500 0.000
0.500 0.000 0.000
0.000 0.000 0.000
```

E_form (uncorrected) = -648 meV/atom
Energy = -5.784 eV per atom

=====

Density functional theory data (PBE) for an optimized crystal structure of BaNiAsIr2.

POSCAR file:
```
BaNiAsIr2
1.0
4.615 0.000 0.000
0.000 5.480 0.000
0.000 0.000 4.615
Ni As Ir Ba
1 1 2 1
Direct
0.000 0.000 0.000
0.500 0.500 0.500
0.000 0.000 0.500
0.500 0.000 0.000
0.000 0.500 0.000
```

Energy = -5.065 eV per atom
DFT formation energy = 949.7 meV per atom

=====

Density functional theory data (PBE) for an optimized crystal structure of BaNiAs2Ir.

POSCAR file:
```
BaNiAs2Ir
1.0
4.123 0.000 0.000
0.000 4.123 0.000
-2.062 -2.062 6.289
Ba Ni As Ir
1 1 2 1
Direct
0.000 0.000 0.000
0.250 0.750 0.500
0.647 0.647 0.293
0.353 0.353 0.707
0.750 0.250 0.500
```

Energy = -5.779 eV per atom
DFT formation energy = -605.9 meV per atom

=====

Density functional theory data (PBE) for an optimized crystal structure of BaAs2IrO8.

POSCAR file:
```
BaAs2IrO8
1.0
-3.404 0.672 -3.802
0.279 -2.896 -4.246
-6.017 -6.309 0.787
Ba As Ir O
1 2 1 8
Direct
0.000 0.000 0.000
0.760 0.760 0.721
0.240 0.240 0.279
0.500 0.500 0.500
0.691 0.691 0.928
0.309 0.309 0.072
0.506 0.289 0.337
0.711 0.494 0.663
0.131 0.711 0.663
0.289 0.869 0.337
0.869 0.506 0.337
0.494 0.131 0.663
```

E_form (uncorrected) = -1235 meV/atom
Energy = -6.214 eV per atom